# 1
A plane-wave DFT calculation with PBE was carried out for a relaxed structure of BeCuP3.

abc: 4.2159 4.2159 4.2159
angles: 90.00 90.00 90.00
Space group Pm-3m (No. 221)
Inequivalent atoms, fractional coordinates:
Be 0.0000 0.0000 0.0000 [1 per cell]
Cu 0.5000 0.5000 0.5000 [1 per cell]
P 0.0000 0.0000 0.5000 [3 per cell]

Calculated values
Crystal system: cubic
E above lowest polymorph: 0 meV per atom

# 2
A plane-wave DFT calculation with PBE was carried out for a relaxed structure of BeCuP.

abc: 7.1390 3.9659 6.2495
angles: 90.00 90.00 90.00
Space group Pnma (No. 62)
Inequivalent atoms, fractional coordinates:
Be 0.1516 0.2500 0.0846 [4 per cell]
Cu 0.2313 0.2500 0.7156 [4 per cell]
P 0.1512 0.7500 0.8726 [4 per cell]

Calculated values
Crystal system: orthorhombic
DFT total energy: -4.5429 eV per atom

# 3
A plane-wave DFT calculation with PBE was carried out for a relaxed structure of YBeCuP2.

abc: 5.1885 5.1885 5.1457
angles: 90.00 90.00 90.00
Space group P4/mmm (No. 123)
Inequivalent atoms, fractional coordinates:
Y 0.0000 0.0000 0.0000 [1 per cell]
Be 0.0000 0.0000 0.5000 [1 per cell]
Cu 0.5000 0.5000 0.5000 [1 per cell]
P 0.0000 0.5000 0.0000 [2 per cell]

Calculated values
Crystal system: tetragonal
DFT total energy: -3.7525 eV per atom

# 4
A plane-wave DFT calculation with PBE was carried out for a relaxed structure of Pa2BeCu3.

abc: 5.1937 5.1937 12.2664
angles: 90.00 90.00 120.00
Space group R-3m (No. 166, hexagonal axes)
Inequivalent atoms, fractional coordinates:
Pa 0.0000 0.0000 0.1228 [6 per cell]
Be 0.0000 0.0000 0.5000 [3 per cell]
Cu 0.0000 0.5000 0.0000 [9 per cell]

Calculated values
Crystal system: trigonal
DFT total energy: -5.8011 eV per atom

# 5
A plane-wave DFT calculation with PBE was carried out for a relaxed structure of Pa2BeCu.

abc: 2.9896 2.9896 30.7132
angles: 90.00 90.00 120.00
Space group R-3m (No. 166, hexagonal axes)
Inequivalent atoms, fractional coordinates:
Pa 0.0000 0.0000 0.0937 [6 per cell]
Be 0.0000 0.0000 0.5000 [3 per cell]
Cu 0.0000 0.0000 0.0000 [3 per cell]

Calculated values
Crystal system: trigonal
DFT total energy: -6.1357 eV per atom

# 6
A plane-wave DFT calculation with PBE was carried out for a relaxed structure of PaBeCu.

abc: 4.2151 4.2151 3.2048
angles: 90.00 90.00 120.00
Space group P-6m2 (No. 187)
Inequivalent atoms, fractional coordinates:
Pa 0.0000 0.0000 0.0000 [1 per cell]
Be 0.6667 0.3333 0.5000 [1 per cell]
Cu 0.3333 0.6667 0.5000 [1 per cell]

Calculated values
Crystal system: hexagonal
E above lowest polymorph: 0 meV per atom

# 7
A plane-wave DFT calculation with PBE was carried out for a relaxed structure of PaBe6Cu6.

abc: 4.4577 8.1406 8.1774
angles: 90.00 90.00 90.00
Space group Immm (No. 71)
Inequivalent atoms, fractional coordinates:
Pa 0.0000 0.0000 0.0000 [2 per cell]
Be 0.0000 0.2605 0.5000 [4 per cell]
Be 0.2500 0.2500 0.2500 [8 per cell]
Cu 0.0000 0.0000 0.3523 [4 per cell]
Cu 0.0000 0.3461 0.0000 [4 per cell]
Cu 0.0000 0.5000 0.2893 [4 per cell]

Calculated values
Crystal system: orthorhombic
DFT total energy: -4.3990 eV per atom

# 8
A plane-wave DFT calculation with PBE was carried out for a relaxed structure of PaBeCu.

abc: 2.9281 2.9281 10.7282
angles: 90.00 90.00 90.00
Space group I4mm (No. 107)
Inequivalent atoms, fractional coordinates:
Pa 0.0000 0.0000 0.0000 [2 per cell]
Be 0.0000 0.0000 0.6953 [2 per cell]
Cu 0.0000 0.0000 0.2920 [2 per cell]

Calculated values
Crystal system: tetragonal
E above lowest polymorph: 16 meV per atom

# 9
A plane-wave DFT calculation with PBE was carried out for a relaxed structure of PaBeCu.

abc: 3.8646 11.8916 4.1529
angles: 90.00 90.00 90.00
Space group Cmcm (No. 63)
Inequivalent atoms, fractional coordinates:
Pa 0.0000 0.0752 0.2500 [4 per cell]
Be 0.0000 0.3649 0.2500 [4 per cell]
Cu 0.0000 0.2494 0.7500 [4 per cell]

Calculated values
Crystal system: orthorhombic
E above lowest polymorph: 48 meV per atom

# 10
A plane-wave DFT calculation with PBE was carried out for a relaxed structure of Pa2Be15Cu2.

abc: 7.8309 7.8309 11.5096
angles: 90.00 90.00 120.00
Space group R-3m (No. 166, hexagonal axes)
Inequivalent atoms, fractional coordinates:
Pa 0.0000 0.0000 0.1541 [6 per cell]
Be 0.0000 0.2777 0.5000 [18 per cell]
Be 0.0000 0.5000 0.0000 [9 per cell]
Be 0.0034 0.5017 0.3395 [18 per cell]
Cu 0.0000 0.0000 0.3948 [6 per cell]

Calculated values
Crystal system: trigonal
DFT total energy: -4.4615 eV per atom

# 11
A plane-wave DFT calculation with PBE was carried out for a relaxed structure of PaBeCu4.

abc: 7.0418 7.0418 7.0418
angles: 90.00 90.00 90.00
Space group F-43m (No. 216)
Inequivalent atoms, fractional coordinates:
Pa 0.0000 0.0000 0.0000 [4 per cell]
Be 0.2500 0.2500 0.7500 [4 per cell]
Cu 0.1237 0.1237 0.3763 [16 per cell]

Calculated values
Crystal system: cubic
DFT total energy: -4.8336 eV per atom

# 12
A plane-wave DFT calculation with PBE was carried out for a relaxed structure of Pa2Be3CuPt4.

abc: 3.9461 3.9461 10.2567
angles: 90.00 90.00 90.00
Space group P-4m2 (No. 115)
Inequivalent atoms, fractional coordinates:
Pa 0.0000 0.5000 0.2456 [2 per cell]
Be 0.0000 0.5000 0.8795 [2 per cell]
Be 0.5000 0.5000 0.5000 [1 per cell]
Cu 0.0000 0.0000 0.5000 [1 per cell]
Pt 0.0000 0.0000 0.0000 [1 per cell]
Pt 0.0000 0.5000 0.6543 [2 per cell]
Pt 0.5000 0.5000 0.0000 [1 per cell]

Calculated values
Crystal system: tetragonal
DFT total energy: -6.5436 eV per atom